Ru3Se | PBEsol | optimized geometry

Unit cell a=2.815 b=4.524 c=4.524 alpha=104.41 beta=90.00 gamma=90.00
Positions (direct):
1 Ru 0.000 0.500 0.500
2 Ru 0.500 0.500 0.000
3 Ru 0.500 0.000 0.500
4 Se 0.000 0.000 0.000

Properties
The energy relative to the elements, uncorrected is 0.417 eV/atom. The volume is 13.95 Å³/atom. For the density of states at the Fermi level, the calculation gives 5.0 states/eV per cell. For the final energy, the calculation gives -8.174 eV/atom. For the mass density, the calculation gives 11374 kg/m3.

=====

Ca2AgSe | PBEsol | optimized geometry

Unit cell a=3.769 b=3.949 c=7.689 alpha=104.88 beta=104.19 gamma=90.00
Positions (direct):
1 Ca 0.962 0.962 0.923
2 Ca 0.201 0.701 0.401
3 Ag 0.797 0.297 0.593
4 Se 0.541 0.541 0.082

Properties
The energy relative to the elements, uncorrected is -0.910 eV/atom. The volume is 26.75 Å³/atom. For the density of states at the Fermi level, the calculation gives 1.5 states/eV per cell. The energy above the most stable polymorph in this dataset comes out at 67 meV/atom. For the final energy, the calculation gives -3.767 eV/atom. For the mass density, the calculation gives 4143 kg/m3.

=====

CsScSi2 | PBEsol | optimized geometry

Unit cell a=5.134 b=5.134 c=5.134 alpha=60.00 beta=60.00 gamma=60.00
Positions (direct):
1 Si 0.750 0.750 0.750
2 Si 0.250 0.250 0.250
3 Sc 0.000 0.000 0.000
4 Cs 0.500 0.500 0.500

Properties
The energy relative to the elements, uncorrected is 0.568 eV/atom. The volume is 23.93 Å³/atom. For the density of states at the Fermi level, the calculation gives 2.9 states/eV per cell. For the final energy, the calculation gives -4.192 eV/atom. For the mass density, the calculation gives 4061 kg/m3.

=====

Al2NiOs | PBEsol | optimized geometry

Unit cell a=3.027 b=4.087 c=4.087 alpha=90.00 beta=90.00 gamma=90.00
Positions (direct):
1 Ni 0.500 0.500 0.500
2 Al 0.000 0.500 0.000
3 Al 0.000 0.000 0.500
4 Os 0.500 0.000 0.000

Properties
The volume is 12.64 Å³/atom. For the density of states at the Fermi level, the calculation gives 1.1 states/eV per cell. As for the formation energy: -0.57 eV per atom. For the final energy, the calculation gives -7.213 eV/atom. For the mass density, the calculation gives 9944 kg/m3.

=====

Zr2SiSb | PBEsol | optimized geometry

Unit cell a=3.290 b=5.051 c=5.051 alpha=101.64 beta=98.32 gamma=98.32
Positions (direct):
1 Zr 0.000 0.500 0.000
2 Zr 0.000 0.000 0.500
3 Sb 0.500 0.500 0.500
4 Si 0.500 0.000 0.000

Properties
The energy relative to the elements, uncorrected is -0.540 eV/atom. The volume is 20.01 Å³/atom. For the density of states at the Fermi level, the calculation gives 2.1 states/eV per cell. The energy above the most stable polymorph in this dataset comes out at 62 meV/atom. For the final energy, the calculation gives -7.660 eV/atom. For the mass density, the calculation gives 6894 kg/m3.

=====

Mn4BeBr | PBEsol | optimized geometry

Unit cell a=4.650 b=4.650 c=4.650 alpha=60.00 beta=60.00 gamma=60.00
Positions (direct):
1 Mn 0.625 0.625 0.625
2 Mn 0.625 0.625 0.124
3 Mn 0.625 0.124 0.625
4 Mn 0.124 0.625 0.625
5 Be 0.250 0.250 0.250
6 Br 0.000 0.000 0.000

Properties
The energy relative to the elements, uncorrected is 0.846 eV/atom. The volume is 11.85 Å³/atom. For the density of states at the Fermi level, the calculation gives 6.7 states/eV per cell. For the final energy, the calculation gives -6.640 eV/atom. For the mass density, the calculation gives 7208 kg/m3.

=====

ZnPt2 | PBEsol | optimized geometry

Unit cell a=2.758 b=5.281 c=6.365 alpha=103.56 beta=90.00 gamma=105.14
Positions (direct):
1 Pt 0.390 0.779 0.275
2 Pt 0.666 0.332 0.340
3 Pt 0.013 0.026 0.987
4 Pt 0.324 0.648 0.679
5 Zn 0.729 0.459 0.956
6 Zn 0.045 0.089 0.597

Properties
The volume is 14.47 Å³/atom. For the density of states at the Fermi level, the calculation gives 3.6 states/eV per cell. As for the formation energy: -0.34 eV per atom. For the final energy, the calculation gives -5.512 eV/atom. For the mass density, the calculation gives 17427 kg/m3.

=====

TlOs2 | PBEsol | optimized geometry

Unit cell a=3.562 b=3.562 c=4.604 alpha=90.00 beta=90.00 gamma=90.00
Positions (direct):
1 Os 0.000 0.500 0.500
2 Os 0.500 0.000 0.500
3 Tl 0.000 0.000 0.000

Properties
The volume is 19.48 Å³/atom. For the density of states at the Fermi level, the calculation gives 3.1 states/eV per cell. As for the formation energy: 1.29 eV per atom. For the final energy, the calculation gives -7.735 eV/atom. For the mass density, the calculation gives 16621 kg/m3.

=====

SrFeHg2 | PBEsol | optimized geometry

Unit cell a=4.345 b=4.590 c=4.590 alpha=90.00 beta=90.00 gamma=90.00
Last column: magnetic moment on the atom in μB.
Positions (direct):
1 Fe 0.500 0.000 0.000  2.94
2 Hg 0.000 0.000 0.500  -0.03
3 Hg 0.000 0.500 0.000  -0.03
4 Sr 0.500 0.500 0.500  -0.06

Properties
The volume is 22.89 Å³/atom. For the density of states at the Fermi level, the calculation gives 5.3 states/eV per cell. As for the formation energy: 0.24 eV per atom. For the final energy, the calculation gives -2.749 eV/atom. For the mass density, the calculation gives 9878 kg/m3.

=====

CaNi2O4 | PBEsol | optimized geometry

Unit cell a=3.110 b=9.341 c=9.509 alpha=90.00 beta=90.00 gamma=90.00
Last column: magnetic moment on the atom in μB.
Positions (direct):
1 O 0.276 0.395 0.517  0.14
2 O 0.276 0.105 0.517  0.14
3 O 0.289 0.750 0.687  0.02
4 O 0.724 0.105 0.017  0.14
5 O 0.724 0.895 0.483  0.14
6 O 0.116 0.500 0.250  0.01
7 O 0.276 0.895 0.983  0.14
8 O 0.711 0.750 0.187  0.02
9 O 0.884 0.000 0.750  0.01
10 O 0.724 0.395 0.017  0.14
11 O 0.884 0.500 0.750  0.01
12 O 0.711 0.250 0.313  0.02
13 O 0.724 0.605 0.483  0.14
14 O 0.116 0.000 0.250  0.01
15 O 0.289 0.250 0.813  0.02
16 O 0.276 0.605 0.983  0.14
17 Ni 0.268 0.430 0.892  0.55
18 Ni 0.268 0.570 0.608  0.55
19 Ni 0.732 0.430 0.392  0.55
20 Ni 0.732 0.930 0.108  0.55
21 Ni 0.268 0.070 0.892  0.55
22 Ni 0.732 0.570 0.108  0.55
23 Ni 0.732 0.070 0.392  0.55
24 Ni 0.268 0.930 0.608  0.55
25 Ca 0.212 0.250 0.146  0.01
26 Ca 0.788 0.250 0.646  0.01
27 Ca 0.212 0.750 0.354  0.01
28 Ca 0.788 0.750 0.854  0.01

Properties
The energy relative to the elements, uncorrected is -1.424 eV/atom. The volume is 9.87 Å³/atom. For the density of states at the Fermi level, the calculation gives 14.8 states/eV per cell. The energy above the most stable polymorph in this dataset comes out at 36 meV/atom. For the final energy, the calculation gives -6.487 eV/atom. For the mass density, the calculation gives 5325 kg/m3.

=====

Ag2IrAu | PBEsol | optimized geometry

Unit cell a=2.721 b=5.012 c=5.012 alpha=111.76 beta=90.00 gamma=90.00
Positions (direct):
1 Au 0.500 0.000 0.000
2 Ir 0.500 0.500 0.500
3 Ag 0.000 0.000 0.500
4 Ag 0.000 0.500 0.000

Properties
The volume is 15.87 Å³/atom. For the density of states at the Fermi level, the calculation gives 2.8 states/eV per cell. The energy above the most stable polymorph in this dataset comes out at 68 meV/atom. As for the formation energy: 0.28 eV per atom. For the final energy, the calculation gives -4.809 eV/atom. For the mass density, the calculation gives 15823 kg/m3.

=====

Mo2H2Os | PBEsol | optimized geometry

Unit cell a=2.865 b=2.865 c=6.408 alpha=102.92 beta=102.92 gamma=90.00
Positions (direct):
1 Os 0.000 0.000 0.000
2 H 0.750 0.250 0.500
3 H 0.250 0.750 0.500
4 Mo 0.647 0.647 0.294
5 Mo 0.353 0.353 0.706

Properties
The volume is 9.98 Å³/atom. For the density of states at the Fermi level, the calculation gives 2.9 states/eV per cell. For the final energy, the calculation gives -8.474 eV/atom. For the mass density, the calculation gives 12786 kg/m3.

=====

LiLa3As | PBEsol | optimized geometry

Unit cell a=5.104 b=5.104 c=5.104 alpha=90.00 beta=90.00 gamma=90.00
Positions (direct):
1 Li 0.000 0.000 0.000
2 La 0.500 0.000 0.000
3 La 0.000 0.500 0.000
4 La 0.000 0.000 0.500
5 As 0.500 0.500 0.500

Properties
The volume is 26.60 Å³/atom. For the density of states at the Fermi level, the calculation gives 3.1 states/eV per cell. As for the formation energy: 0.08 eV per atom. For the final energy, the calculation gives -4.538 eV/atom. For the mass density, the calculation gives 6225 kg/m3.

=====

LiInHg2 | PBEsol | optimized geometry

Unit cell a=3.234 b=4.575 c=6.058 alpha=90.00 beta=104.49 gamma=90.00
Positions (direct):
1 Hg 0.319 0.500 0.268
2 Hg 0.169 0.000 0.960
3 Li 0.591 0.500 0.798
4 In 0.921 0.000 0.473

Properties
The volume is 21.70 Å³/atom. For the density of states at the Fermi level, the calculation gives 1.4 states/eV per cell. As for the formation energy: -0.21 eV per atom. For the final energy, the calculation gives -1.729 eV/atom. For the mass density, the calculation gives 10006 kg/m3.

=====

Zr5Pb3 | PBEsol | optimized geometry

Unit cell a=5.681 b=8.470 c=8.470 alpha=83.54 beta=70.41 gamma=70.41
Positions (direct):
1 Zr 0.577 0.698 0.147
2 Zr 0.724 0.853 0.698
3 Zr 0.224 0.698 0.853
4 Zr 0.923 0.853 0.302
5 Zr 0.250 0.500 0.500
6 Zr 0.750 0.500 0.500
7 Zr 0.276 0.147 0.302
8 Zr 0.776 0.302 0.147
9 Zr 0.423 0.302 0.853
10 Zr 0.077 0.147 0.698
11 Pb 0.835 0.500 0.830
12 Pb 0.750 0.000 0.000
13 Pb 0.250 0.000 0.000
14 Pb 0.665 0.170 0.500
15 Pb 0.165 0.500 0.170
16 Pb 0.335 0.830 0.500

Properties
The volume is 22.61 Å³/atom. For the density of states at the Fermi level, the calculation gives 11.7 states/eV per cell. The energy above the most stable polymorph in this dataset comes out at 20 meV/atom. As for the formation energy: -0.30 eV per atom. For the final energy, the calculation gives -7.484 eV/atom. For the mass density, the calculation gives 9895 kg/m3.

=====

KTi2HW | PBEsol | optimized geometry

Unit cell a=4.379 b=4.379 c=4.517 alpha=90.00 beta=90.00 gamma=90.00
Last column: magnetic moment on the atom in μB.
Positions (direct):
1 Ti 0.500 0.000 0.000  0.53
2 Ti 0.000 0.500 0.000  0.53
3 H 0.500 0.500 0.500  -0.01
4 K 0.000 0.000 0.000  0.08
5 W 0.000 0.000 0.500  0.01

Properties
The volume is 17.32 Å³/atom. For the density of states at the Fermi level, the calculation gives 7.4 states/eV per cell. For the final energy, the calculation gives -3.793 eV/atom. For the mass density, the calculation gives 6129 kg/m3.

=====

YSi | PBEsol | optimized geometry

Unit cell a=3.341 b=3.341 c=7.757 alpha=90.00 beta=90.00 gamma=90.00
Positions (direct):
1 Y 0.000 0.500 0.313
2 Y 0.500 0.000 0.687
3 Si 0.000 0.500 0.935
4 Si 0.500 0.000 0.065

Properties
The energy relative to the elements, uncorrected is -0.324 eV/atom. The volume is 21.65 Å³/atom. For the density of states at the Fermi level, the calculation gives 3.5 states/eV per cell. For the final energy, the calculation gives -6.609 eV/atom. For the mass density, the calculation gives 4488 kg/m3.

=====

SrLi2Te2 | PBEsol | optimized geometry

Unit cell a=4.239 b=4.239 c=7.799 alpha=105.77 beta=105.77 gamma=90.00
Positions (direct):
1 Sr 0.000 0.000 0.000
2 Li 0.250 0.750 0.500
3 Li 0.750 0.250 0.500
4 Te 0.371 0.371 0.743
5 Te 0.629 0.629 0.257

Properties
The energy relative to the elements, uncorrected is -1.230 eV/atom. The volume is 25.87 Å³/atom. For the density of states at the Fermi level, the calculation gives 0.0 states/eV per cell. For the final energy, the calculation gives -3.795 eV/atom. For the mass density, the calculation gives 4579 kg/m3.

=====

YAl5 | PBEsol | optimized geometry

Unit cell a=3.056 b=3.056 c=11.807 alpha=90.00 beta=90.00 gamma=90.00
Positions (direct):
1 Al 0.000 0.000 0.191
2 Al 0.000 0.000 0.809
3 Al 0.500 0.500 0.344
4 Al 0.000 0.000 0.500
5 Al 0.500 0.500 0.656
6 Y 0.500 0.500 0.000

Properties
The volume is 18.37 Å³/atom. For the density of states at the Fermi level, the calculation gives 2.6 states/eV per cell. As for the formation energy: -0.06 eV per atom. For the final energy, the calculation gives -4.612 eV/atom. For the mass density, the calculation gives 3371 kg/m3.

=====

Ni2MoCl | PBEsol | optimized geometry

Unit cell a=2.780 b=4.082 c=6.209 alpha=94.12 beta=90.00 gamma=109.91
Positions (direct):
1 Mo 0.785 0.570 0.171
2 Ni 0.319 0.637 0.835
3 Ni 0.048 0.096 0.009
4 Cl 0.349 0.697 0.485

Properties
The energy relative to the elements, uncorrected is 0.237 eV/atom. The volume is 16.51 Å³/atom. For the density of states at the Fermi level, the calculation gives 1.9 states/eV per cell. The energy above the most stable polymorph in this dataset comes out at 20 meV/atom. For the final energy, the calculation gives -6.286 eV/atom. For the mass density, the calculation gives 6255 kg/m3.